First-principles (meta-GGA SCAN) data for BaZrTa2 at its PBEsol-relaxed geometry, as listed in Alexandria via LeMat-Bulk.

Results
Its total energy is -49.969 eV/atom. The value obtained for the density is 10.63 g cm⁻³. For the energy of formation from the pure elements, the calculation gives 0.885 eV/atom.

Structure (CIF):
```
data_BaZrTa2
_space_group_name_H-M_alt 'R -3 m'
_space_group_IT_number 166
_space_group_name_Hall '-R 3 2"'
_cell_length_a 3.1175
_cell_length_b 3.1175
_cell_length_c 32.8762
_cell_angle_alpha 90.00
_cell_angle_beta 90.00
_cell_angle_gamma 120.00
loop_
_atom_site_label
_atom_site_fract_x
_atom_site_fract_y
_atom_site_fract_z
Ba1 0.0000 0.0000 0.0000
Zr1 0.0000 0.0000 0.5000
Ta1 0.0000 0.0000 0.2396
```

First-principles (meta-GGA SCAN) data for Ba2Zr2Ta at its PBEsol-relaxed geometry, as listed in Alexandria via LeMat-Bulk.

Results
Its total energy is -40.071 eV/atom. The value obtained for the density is 7.39 g cm⁻³. For the energy of formation from the pure elements, the calculation gives 1.346 eV/atom.

Structure (CIF):
```
data_Ba2Zr2Ta
_space_group_name_H-M_alt 'I 4/m m m'
_space_group_IT_number 139
_space_group_name_Hall '-I 4 2'
_cell_length_a 4.218
_cell_length_b 4.218
_cell_length_c 16.121
_cell_angle_alpha 90.00
_cell_angle_beta 90.00
_cell_angle_gamma 90.00
loop_
_atom_site_label
_atom_site_fract_x
_atom_site_fract_y
_atom_site_fract_z
Ba1 0.000 0.500 0.250
Zr1 0.000 0.000 0.077
Ta1 0.000 0.000 0.500
```

First-principles (meta-GGA SCAN) data for BaTb2Te4 at its PBEsol-relaxed geometry, as listed in Alexandria via LeMat-Bulk.

Results
Its total energy is -42.016 eV/atom. The value obtained for the density is 6.63 g cm⁻³. For the raw formation energy, the calculation gives -165.86 kJ per mole of atoms.

Structure (CIF):
```
data_BaTb2Te4
_space_group_name_H-M_alt 'P n m a'
_space_group_IT_number 62
_space_group_name_Hall '-P 2ac 2n'
_cell_length_a 13.566
_cell_length_b 4.426
_cell_length_c 16.099
_cell_angle_alpha 90.00
_cell_angle_beta 90.00
_cell_angle_gamma 90.00
loop_
_atom_site_label
_atom_site_fract_x
_atom_site_fract_y
_atom_site_fract_z
Ba1 0.239 0.250 0.170
Tb1 0.061 0.250 0.392
Tb2 0.080 0.250 0.904
Te1 0.026 0.750 0.783
Te2 0.091 0.250 0.578
Te3 0.130 0.750 0.028
Te4 0.206 0.750 0.338
```

First-principles (meta-GGA SCAN) data for BaTc3 at its PBEsol-relaxed geometry, as listed in Alexandria via LeMat-Bulk.

Results
Its total energy is -32.145 eV/atom. The value obtained for the density is 5.69 g cm⁻³. For the energy above the most stable polymorph in this dataset, the calculation gives 13.338 eV per formula unit. For the energy of formation from the pure elements, the calculation gives 4.038 eV/atom.

Structure (CIF):
```
data_BaTc3
_space_group_name_H-M_alt 'P m -3 m'
_space_group_IT_number 221
_space_group_name_Hall '-P 4 2 3'
_cell_length_a 5.013
_cell_length_b 5.013
_cell_length_c 5.013
_cell_angle_alpha 90.00
_cell_angle_beta 90.00
_cell_angle_gamma 90.00
loop_
_atom_site_label
_atom_site_fract_x
_atom_site_fract_y
_atom_site_fract_z
Ba1 0.000 0.000 0.000
Tc1 0.000 0.000 0.500
```